Record 1
Density functional theory data (SCAN) for Al at its PBEsol-relaxed geometry.

a = 2.8214 Å, b = 2.8214 Å, c = 4.7196 Å
α = 90.00°, β = 90.00°, γ = 120.00°
Last column: nearest neighbours and their distance in Å.
Positions (direct):
Al (0.6667, 0.3333, 0.2500)  12 Al 2.82-2.87
Al (0.3333, 0.6667, 0.7500)  12 Al 2.82-2.87

Values from the calculation:
Distance to the lowest polymorph of the same formula, meV per atom: 29.1
Size of the total moment, μB/f.u.: 0.012
Raw total energy, eV/cell: -15.4
Theoretical density, g cm⁻³: 2.75

***

Record 2
Density functional theory data (SCAN) for Al2As at its PBEsol-relaxed geometry.

a = 4.6674 Å, b = 4.6674 Å, c = 5.5218 Å
α = 90.00°, β = 90.00°, γ = 120.00°
Last column: nearest neighbours and their distance in Å.
Positions (direct):
As (0.3333, 0.6667, 0.7500)  5 Al 2.69-2.76
As (0.6667, 0.3333, 0.2500)  5 Al 2.69-2.76
Al (0.0000, 0.0000, 0.0000)  8 Al 2.76-3.03, 6 As 3.03
Al (0.3333, 0.6667, 0.2500)  5 As 2.69-2.76
Al (0.0000, 0.0000, 0.5000)  8 Al 2.76-3.03, 6 As 3.03
Al (0.6667, 0.3333, 0.7500)  5 As 2.69-2.76

Values from the calculation:
Size of the total moment, μB/f.u.: 0.000
Raw total energy, eV/cell: -71.1
Theoretical density, g cm⁻³: 4.11